(1)
Crystalline Pm5MgGe4 at its relaxed geometry. Source: Alexandria, functional GGA-PBE.

**E_tot**: -4.9409 eV per atom
**Total magnetization**: 0.0 μB/f.u.
**DFT formation energy**: -5.592 eV/f.u.
**SG**: C2/m

Geometry as POSCAR:
```
Pm5MgGe4
1.0
7.7985 -2.4895 0.0000
7.7985 2.4895 0.0000
-0.3430 0.0000 7.1094
Pm Mg Ge
5 1 4
direct
0.0000 0.0000 0.0000 Pm
0.3321 0.3321 0.9863 Pm
0.3482 0.3482 0.5043 Pm
0.6518 0.6518 0.4957 Pm
0.6679 0.6679 0.0137 Pm
0.0000 0.0000 0.5000 Mg
0.1818 0.1818 0.2558 Ge
0.4914 0.4914 0.2452 Ge
0.5086 0.5086 0.7548 Ge
0.8182 0.8182 0.7442 Ge
```


(2)
Crystalline Pm2MgGe3 at its relaxed geometry. Source: Alexandria, functional GGA-PBE.

**E_tot**: -4.5848 eV per atom
**Total magnetization**: 0.0 μB/f.u.
**DFT formation energy**: -2.561 eV/f.u.
**Energy above the lowest structure with this stoichiometry**: 254 meV per atom
**SG**: Immm

Geometry as POSCAR:
```
Pm2MgGe3
1.0
4.6026 0.0000 0.0000
0.0000 6.0637 0.0000
0.0000 0.0000 10.7200
Pm Mg Ge
4 2 6
direct
0.0000 0.0000 0.1840 Pm
0.0000 0.0000 0.8160 Pm
0.5000 0.5000 0.3160 Pm
0.5000 0.5000 0.6840 Pm
0.0000 0.0000 0.5000 Mg
0.5000 0.5000 0.0000 Mg
0.0000 0.5000 0.1327 Ge
0.0000 0.5000 0.5000 Ge
0.0000 0.5000 0.8673 Ge
0.5000 0.0000 0.0000 Ge
0.5000 0.0000 0.3673 Ge
0.5000 0.0000 0.6327 Ge
```


(3)
Crystalline Pm12Mg2Ge5 at its relaxed geometry. Source: Alexandria, functional GGA-PBE.

**E_tot**: -4.6618 eV per atom
**Total magnetization**: 0.0 μB/f.u.
**DFT formation energy**: -5.292 eV/f.u.
**SG**: C2/m

Geometry as POSCAR:
```
Pm12Mg2Ge5
1.0
8.2099 -3.7753 0.0000
8.2099 3.7753 0.0000
-1.0934 0.0000 9.3841
Pm Mg Ge
12 2 5
direct
0.0227 0.0227 0.3124 Pm
0.0737 0.5638 0.8715 Pm
0.1057 0.6025 0.4271 Pm
0.3975 0.8943 0.5729 Pm
0.4362 0.9263 0.1285 Pm
0.4684 0.4684 0.1869 Pm
0.5316 0.5316 0.8131 Pm
0.5638 0.0737 0.8715 Pm
0.6025 0.1057 0.4271 Pm
0.8943 0.3975 0.5729 Pm
0.9263 0.4362 0.1285 Pm
0.9773 0.9773 0.6876 Pm
0.1761 0.8239 0.0000 Mg
0.8239 0.1761 0.0000 Mg
0.1559 0.1559 0.8506 Ge
0.2096 0.2096 0.3677 Ge
0.5000 0.5000 0.5000 Ge
0.7904 0.7904 0.6323 Ge
0.8441 0.8441 0.1494 Ge
```


(4)
Crystalline Pm3Mg4Ge3 at its relaxed geometry. Source: Alexandria, functional GGA-PBE.

**E_tot**: -3.9401 eV per atom
**Total magnetization**: 0.0 μB/f.u.
**DFT formation energy**: -4.918 eV/f.u.
**SG**: I-43d

Geometry as POSCAR:
```
Pm3Mg4Ge3
1.0
-4.9605 4.9605 4.9605
4.9605 -4.9605 4.9605
4.9605 4.9605 -4.9605
Pm Mg Ge
6 8 6
direct
0.1250 0.7500 0.8750 Pm
0.2500 0.6250 0.3750 Pm
0.3750 0.2500 0.6250 Pm
0.6250 0.3750 0.2500 Pm
0.7500 0.8750 0.1250 Pm
0.8750 0.1250 0.7500 Pm
0.0000 0.3332 0.5000 Mg
0.0000 0.8332 0.5000 Mg
0.1668 0.1668 0.1668 Mg
0.3332 0.5000 0.0000 Mg
0.5000 0.0000 0.3332 Mg
0.5000 0.0000 0.8332 Mg
0.6668 0.6668 0.6668 Mg
0.8332 0.5000 0.0000 Mg
0.1250 0.8750 0.2500 Ge
0.2500 0.1250 0.8750 Ge
0.3750 0.6250 0.7500 Ge
0.6250 0.7500 0.3750 Ge
0.7500 0.3750 0.6250 Ge
0.8750 0.2500 0.1250 Ge
```


(5)
Crystalline Pm12MgGe7 at its relaxed geometry. Source: Alexandria, functional GGA-PBE.

**E_tot**: -4.9789 eV per atom
**Total magnetization**: 0.0 μB/f.u.
**DFT formation energy**: -8.654 eV/f.u.
**SG**: R-3

Geometry as POSCAR:
```
Pm12MgGe7
1.0
7.4854 4.3217 3.0218
-7.4854 4.3217 3.0218
0.0000 -8.6434 3.0218
Pm Mg Ge
12 1 7
direct
0.0943 0.3158 0.3976 Pm
0.1399 0.6662 0.2821 Pm
0.2821 0.1399 0.6661 Pm
0.3158 0.3976 0.0943 Pm
0.3338 0.7179 0.8601 Pm
0.3976 0.0943 0.3158 Pm
0.6024 0.9057 0.6842 Pm
0.6661 0.2821 0.1399 Pm
0.6842 0.6024 0.9057 Pm
0.7179 0.8601 0.3339 Pm
0.8601 0.3339 0.7179 Pm
0.9057 0.6842 0.6024 Pm
0.0000 0.0000 0.0000 Mg
0.0300 0.9375 0.2809 Ge
0.0625 0.7191 0.9700 Ge
0.2809 0.0300 0.9375 Ge
0.5000 0.5000 0.5000 Ge
0.7191 0.9700 0.0625 Ge
0.9375 0.2809 0.0300 Ge
0.9700 0.0625 0.7191 Ge
```


(6)
Crystalline PmMg3Ge3 at its relaxed geometry. Source: Alexandria, functional GGA-PBE.

**E_tot**: -3.1129 eV per atom
**Total magnetization**: 0.0 μB/f.u.
**DFT formation energy**: 1.596 eV/f.u.
**Energy above the lowest structure with this stoichiometry**: 426 meV per atom
**SG**: Pm-3n

Geometry as POSCAR:
```
PmMg3Ge3
1.0
7.2083 0.0000 0.0000
0.0000 7.2083 0.0000
0.0000 0.0000 7.2083
Pm Mg Ge
2 6 6
direct
0.0000 0.0000 0.0000 Pm
0.5000 0.5000 0.5000 Pm
0.0000 0.2500 0.5000 Mg
0.0000 0.7500 0.5000 Mg
0.2500 0.5000 0.0000 Mg
0.5000 0.0000 0.2500 Mg
0.5000 0.0000 0.7500 Mg
0.7500 0.5000 0.0000 Mg
0.0000 0.5000 0.2500 Ge
0.0000 0.5000 0.7500 Ge
0.2500 0.0000 0.5000 Ge
0.5000 0.2500 0.0000 Ge
0.5000 0.7500 0.0000 Ge
0.7500 0.0000 0.5000 Ge
```


(7)
Crystalline Pm2Mg3Ge2 at its relaxed geometry. Source: Alexandria, functional GGA-PBE.

**E_tot**: -3.8515 eV per atom
**Total magnetization**: 0.0 μB/f.u.
**DFT formation energy**: -3.441 eV/f.u.
**SG**: C2/m

Geometry as POSCAR:
```
Pm2Mg3Ge2
1.0
10.8687 0.0000 0.0000
0.0000 4.3452 0.0000
-1.0243 0.0000 7.0932
Pm Mg Ge
4 6 4
direct
0.1261 0.0000 0.3528 Pm
0.3739 0.5000 0.6472 Pm
0.6261 0.5000 0.3528 Pm
0.8739 0.0000 0.6472 Pm
0.0000 0.5000 0.0000 Mg
0.1832 0.0000 0.8626 Mg
0.3167 0.5000 0.1374 Mg
0.5000 0.0000 0.0000 Mg
0.6832 0.5000 0.8626 Mg
0.8168 0.0000 0.1374 Mg
0.0874 0.5000 0.6420 Ge
0.4126 0.0000 0.3580 Ge
0.5874 0.0000 0.6420 Ge
0.9126 0.5000 0.3580 Ge
```


(8)
Crystalline PmMgGePt2 at its relaxed geometry. Source: Alexandria, functional GGA-PBE.

**E_tot**: -5.4944 eV per atom
**Total magnetization**: 0.0 μB/f.u.
**DFT formation energy**: -4.428 eV/f.u.
**SG**: Imm2

Geometry as POSCAR:
```
PmMgGePt2
1.0
3.7766 0.0000 0.0000
0.0000 4.2792 0.0000
0.0000 0.0000 12.2471
Pm Mg Ge Pt
2 2 2 4
direct
0.0000 0.0000 0.0000 Pm
0.5000 0.5000 0.5000 Pm
0.0000 0.5000 0.7592 Mg
0.5000 0.0000 0.2592 Mg
0.0000 0.0000 0.6179 Ge
0.5000 0.5000 0.1179 Ge
0.0000 0.0000 0.4155 Pt
0.0000 0.5000 0.2528 Pt
0.5000 0.0000 0.7528 Pt
0.5000 0.5000 0.9155 Pt
```


(9)
Crystalline Pm2MgGe3Pt4 at its relaxed geometry. Source: Alexandria, functional GGA-PBE.

**E_tot**: -5.8438 eV per atom
**Total magnetization**: 0.0 μB/f.u.
**DFT formation energy**: -9.327 eV/f.u.
**SG**: P-4m2

Geometry as POSCAR:
```
Pm2MgGe3Pt4
1.0
4.3239 0.0000 0.0000
0.0000 4.3239 0.0000
0.0000 0.0000 10.4339
Pm Mg Ge Pt
2 1 3 4
direct
0.0000 0.5000 0.2441 Pm
0.5000 0.0000 0.7559 Pm
0.0000 0.0000 0.5000 Mg
0.0000 0.5000 0.8710 Ge
0.5000 0.0000 0.1290 Ge
0.5000 0.5000 0.5000 Ge
0.0000 0.0000 0.0000 Pt
0.0000 0.5000 0.6377 Pt
0.5000 0.0000 0.3623 Pt
0.5000 0.5000 0.0000 Pt
```


(10)
Crystalline PmMgGePt at its relaxed geometry. Source: Alexandria, functional GGA-PBE.

**E_tot**: -4.9541 eV per atom
**Total magnetization**: 0.0 μB/f.u.
**DFT formation energy**: -2.813 eV/f.u.
**SG**: F-43m

Geometry as POSCAR:
```
PmMgGePt
1.0
6.9178 0.0000 0.0000
0.0000 6.9178 0.0000
0.0000 0.0000 6.9178
Pm Mg Ge Pt
4 4 4 4
direct
0.0000 0.0000 0.0000 Pm
0.0000 0.5000 0.5000 Pm
0.5000 0.0000 0.5000 Pm
0.5000 0.5000 0.0000 Pm
0.0000 0.0000 0.5000 Mg
0.0000 0.5000 0.0000 Mg
0.5000 0.0000 0.0000 Mg
0.5000 0.5000 0.5000 Mg
0.2500 0.2500 0.7500 Ge
0.2500 0.7500 0.2500 Ge
0.7500 0.2500 0.2500 Ge
0.7500 0.7500 0.7500 Ge
0.2500 0.2500 0.2500 Pt
0.2500 0.7500 0.7500 Pt
0.7500 0.2500 0.7500 Pt
0.7500 0.7500 0.2500 Pt
```


(11)
Crystalline PmMgGe2Pt2 at its relaxed geometry. Source: Alexandria, functional GGA-PBE.

**E_tot**: -5.4849 eV per atom
**Total magnetization**: 0.0 μB/f.u.
**DFT formation energy**: -5.248 eV/f.u.
**SG**: P-3m1

Geometry as POSCAR:
```
PmMgGe2Pt2
1.0
4.3681 0.0000 0.0000
-2.1840 3.7829 0.0000
0.0000 0.0000 6.9355
Pm Mg Ge Pt
1 1 2 2
direct
0.0000 0.0000 0.0000 Pm
0.0000 0.0000 0.5000 Mg
0.3333 0.6667 0.7175 Ge
0.6667 0.3333 0.2825 Ge
0.3333 0.6667 0.3052 Pt
0.6667 0.3333 0.6948 Pt
```


(12)
Crystalline PmMg2Ge2Pt at its relaxed geometry. Source: Alexandria, functional GGA-PBE.

**E_tot**: -3.7803 eV per atom
**Total magnetization**: 0.0 μB/f.u.
**DFT formation energy**: 0.534 eV/f.u.
**SG**: I4/mmm

Geometry as POSCAR:
```
PmMg2Ge2Pt
1.0
4.0661 0.0000 0.0000
0.0000 4.0661 0.0000
0.0000 0.0000 19.8946
Pm Mg Ge Pt
2 4 4 2
direct
0.0000 0.0000 0.0000 Pm
0.5000 0.5000 0.5000 Pm
0.0000 0.5000 0.2500 Mg
0.0000 0.5000 0.7500 Mg
0.5000 0.0000 0.2500 Mg
0.5000 0.0000 0.7500 Mg
0.0000 0.0000 0.1521 Ge
0.0000 0.0000 0.8479 Ge
0.5000 0.5000 0.3479 Ge
0.5000 0.5000 0.6521 Ge
0.0000 0.0000 0.5000 Pt
0.5000 0.5000 0.0000 Pt
```


- What is the E_tot in the seventh record?
  -3.8515 eV per atom


- Look up the total magnetization of the eleventh one.
  0.0 μB/f.u.


- What is the formula in the tenth record?
  PmMgGePt


Copy entry 12 word for word.
Crystalline PmMg2Ge2Pt at its relaxed geometry. Source: Alexandria, functional GGA-PBE.

**E_tot**: -3.7803 eV per atom
**Total magnetization**: 0.0 μB/f.u.
**DFT formation energy**: 0.534 eV/f.u.
**SG**: I4/mmm

Geometry as POSCAR:
```
PmMg2Ge2Pt
1.0
4.0661 0.0000 0.0000
0.0000 4.0661 0.0000
0.0000 0.0000 19.8946
Pm Mg Ge Pt
2 4 4 2
direct
0.0000 0.0000 0.0000 Pm
0.5000 0.5000 0.5000 Pm
0.0000 0.5000 0.2500 Mg
0.0000 0.5000 0.7500 Mg
0.5000 0.0000 0.2500 Mg
0.5000 0.0000 0.7500 Mg
0.0000 0.0000 0.1521 Ge
0.0000 0.0000 0.8479 Ge
0.5000 0.5000 0.3479 Ge
0.5000 0.5000 0.6521 Ge
0.0000 0.0000 0.5000 Pt
0.5000 0.5000 0.0000 Pt
```